Entry 1:
{
  "formula": "In2GaCoF",
  "functional": "PBE with a Hubbard U",
  "state": "relaxed",
  "sg": "P4/mmm (123)",
  "energy_ev_per_atom": -3.231,
  "total_magnetization_mub_per_fu": 0.475,
  "dos_ef_per_ev_cell": 2.8,
  "lattice_angstrom": [[5.1619, 0.0000, 0.0000], [0.0000, 5.1619, 0.0000], [0.0000, 0.0000, 3.8133]],
  "species": ["In", "In", "Ga", "Co", "F"],
  "frac_coords": [[0.0000, 0.5000, 0.0000], [0.5000, 0.0000, 0.0000], [0.0000, 0.0000, 0.5000], [0.5000, 0.5000, 0.0000], [0.5000, 0.5000, 0.5000]]
}

***

Entry 2:
{
  "formula": "K2GaCoF6",
  "functional": "PBE with a Hubbard U",
  "state": "relaxed",
  "sg": "I4/mmm (139)",
  "energy_ev_per_atom": -4.548,
  "total_magnetization_mub_per_fu": 2.362,
  "dos_ef_per_ev_cell": 1.4,
  "lattice_angstrom": [[-2.9457, 2.9457, 4.2374], [2.9457, -2.9457, 4.2374], [2.9457, 2.9457, -4.2374]],
  "species": ["K", "K", "Ga", "Co", "F", "F", "F", "F", "F", "F"],
  "frac_coords": [[0.2500, 0.7500, 0.5000], [0.7500, 0.2500, 0.5000], [0.0000, 0.0000, 0.0000], [0.5000, 0.5000, 0.0000], [0.2461, 0.2461, 0.0000], [0.2530, 0.2530, 0.5061], [0.2530, 0.7470, 0.0000], [0.7470, 0.2530, 0.0000], [0.7470, 0.7470, 0.4939], [0.7539, 0.7539, 0.0000]]
}